--- w ---
This record from the Alexandria database describes Ga3BrF after structural relaxation. The functional is PBE-GGA.

```
5
Lattice="5.753 0.000 0.000 0.000 5.753 0.000 0.000 0.000 5.753" Properties=species:S:1:pos:R:3 pbc="T T T"
Ga 0.000 0.000 2.876
Ga 0.000 2.876 0.000
Ga 2.876 0.000 0.000
Br 0.000 0.000 0.000
F 2.876 2.876 2.876
```

Properties
Total moment (Bohr magnetons per cell): 0.0

=====

--- x ---
This record from the Alexandria database describes Ga3BrF after structural relaxation. The functional is PBE-GGA.

```
5
Lattice="4.969 0.000 0.000 0.000 4.969 0.000 0.000 0.000 4.969" Properties=species:S:1:pos:R:3 pbc="T T T"
Ga 0.000 0.000 2.484
Ga 0.000 2.484 0.000
Ga 2.484 0.000 0.000
Br 2.484 2.484 2.484
F 0.000 0.000 0.000
```

Properties
Total moment (Bohr magnetons per cell): 0.0

=====

Result of the stability comparison: x is the most stable of them.

=====

--- w ---
This record from the Alexandria database describes GaBr3F after structural relaxation. The functional is PBE-GGA.

```
5
Lattice="5.122 0.000 0.000 0.000 5.122 0.000 0.000 0.000 5.122" Properties=species:S:1:pos:R:3 pbc="T T T"
Ga 0.000 0.000 0.000
Br 0.000 0.000 2.561
Br 0.000 2.561 0.000
Br 2.561 0.000 0.000
F 2.561 2.561 2.561
```

Properties
Total moment (Bohr magnetons per cell): 1.1

=====

--- x ---
This record from the Alexandria database describes GaBr3F after structural relaxation. The functional is PBE-GGA.

```
5
Lattice="5.043 0.000 0.000 0.000 5.043 0.000 0.000 0.000 5.043" Properties=species:S:1:pos:R:3 pbc="T T T"
Ga 0.000 0.000 0.000
Br 0.000 2.522 2.522
Br 2.522 0.000 2.522
Br 2.522 2.522 0.000
F 2.522 2.522 2.522
```

Properties
Total moment (Bohr magnetons per cell): 0.0

=====

Result of the stability comparison: w is the most stable of them.

=====

--- w ---
This record from the Alexandria database describes Ga2BrF after structural relaxation. The functional is PBE-GGA.

```
8
Lattice="-2.826 2.826 7.184 2.826 -2.826 7.184 2.826 2.826 -7.184" Properties=species:S:1:pos:R:3 pbc="T T T"
Ga 4.239 0.825 -1.796
Ga 0.825 1.413 1.796
Ga -1.413 2.001 5.388
Ga 2.001 1.413 8.981
Br 2.826 0.000 3.592
Br 0.000 0.000 7.184
F 0.000 0.000 0.000
F 0.000 2.826 3.592
```

Properties
Total moment (Bohr magnetons per cell): 0.0

=====

--- x ---
This record from the Alexandria database describes Ga2BrF after structural relaxation. The functional is PBE-GGA.

```
4
Lattice="0.000 3.554 3.554 3.554 0.000 3.554 3.554 3.554 0.000" Properties=species:S:1:pos:R:3 pbc="T T T"
Ga 1.777 1.777 1.777
Ga 5.331 5.331 5.331
Br 0.000 0.000 0.000
F 3.554 3.554 3.554
```

Properties
Total moment (Bohr magnetons per cell): 0.0

=====

Result of the stability comparison: w is the most stable of them.

=====

--- w ---
This record from the Alexandria database describes NbGaBr2F after structural relaxation. The functional is PBE-GGA.

```
5
Lattice="5.438 0.000 0.000 0.000 5.438 0.000 0.000 0.000 3.957" Properties=species:S:1:pos:R:3 pbc="T T T"
Nb 0.000 0.000 0.000
Ga 2.719 2.719 1.978
Br 0.000 2.719 1.978
Br 2.719 0.000 1.978
F 2.719 2.719 0.000
```

Properties
Total moment (Bohr magnetons per cell): 3.8

=====

--- x ---
This record from the Alexandria database describes NbGaBr2F after structural relaxation. The functional is PBE-GGA.

```
5
Lattice="5.549 0.000 0.000 0.000 5.549 0.000 0.000 0.000 3.863" Properties=species:S:1:pos:R:3 pbc="T T T"
Nb 0.000 0.000 0.000
Ga 2.775 2.775 0.000
Br 0.000 2.775 1.932
Br 2.775 0.000 1.932
F 2.775 2.775 1.932
```

Properties
Total moment (Bohr magnetons per cell): 3.2

=====

Result of the stability comparison: w is the most stable of them.

=====

--- w ---
This record from the Alexandria database describes GaSe2BrF after structural relaxation. The functional is PBE-GGA.

```
5
Lattice="5.061 0.000 0.000 0.000 5.061 0.000 0.000 0.000 5.084" Properties=species:S:1:pos:R:3 pbc="T T T"
Ga 0.000 0.000 0.000
Se 0.000 2.531 0.000
Se 2.531 0.000 0.000
Br 0.000 0.000 2.542
F 2.531 2.531 2.542
```

Properties
Total moment (Bohr magnetons per cell): 2.8

=====

--- x ---
This record from the Alexandria database describes GaSe2BrF after structural relaxation. The functional is PBE-GGA.

```
5
Lattice="4.371 0.000 0.000 0.000 4.371 0.000 0.000 0.000 6.875" Properties=species:S:1:pos:R:3 pbc="T T T"
Ga 0.000 0.000 0.000
Se 0.000 2.185 3.438
Se 2.185 0.000 3.438
Br 2.185 2.185 0.000
F 2.185 2.185 3.438
```

Properties
Total moment (Bohr magnetons per cell): 0.0

=====

Result of the stability comparison: x is the most stable of them.

=====

--- w ---
This record from the Alexandria database describes GeBr2F after structural relaxation. The functional is PBE-GGA.

```
4
Lattice="1.906 1.100 8.160 -1.906 1.100 8.160 0.000 -2.200 8.160" Properties=species:S:1:pos:R:3 pbc="T T T"
Ge 0.000 0.000 0.000
Br 0.000 0.000 2.306
Br 0.000 0.000 22.173
F 0.000 0.000 12.239
```

Properties
Total moment (Bohr magnetons per cell): 0.0

=====

--- x ---
This record from the Alexandria database describes GeBr2F after structural relaxation. The functional is PBE-GGA.

```
8
Lattice="-3.626 3.626 3.733 3.626 -3.626 3.733 3.626 3.626 -3.733" Properties=species:S:1:pos:R:3 pbc="T T T"
Ge 0.000 0.000 0.000
Ge 0.000 3.626 1.867
Br 5.438 1.633 -0.933
Br 1.633 1.813 0.933
Br -1.813 1.992 2.800
Br 1.992 1.813 4.667
F 3.626 0.000 1.867
F 0.000 0.000 3.733
```

Properties
Total moment (Bohr magnetons per cell): 1.8

=====

Result of the stability comparison: x is the most stable of them.

=====

--- w ---
This record from the Alexandria database describes GeBrOF2 after structural relaxation. The functional is PBE-GGA.

```
5
Lattice="4.943 0.000 0.000 0.000 4.943 0.000 0.000 0.000 3.669" Properties=species:S:1:pos:R:3 pbc="T T T"
Ge 0.000 0.000 0.000
Br 2.472 2.472 1.834
O 2.472 2.472 0.000
F 0.000 2.472 1.834
F 2.472 0.000 1.834
```

Properties
Total moment (Bohr magnetons per cell): 0.0

=====

--- x ---
This record from the Alexandria database describes GeBrOF2 after structural relaxation. The functional is PBE-GGA.

```
5
Lattice="4.292 0.000 0.000 0.000 4.292 0.000 0.000 0.000 3.669" Properties=species:S:1:pos:R:3 pbc="T T T"
Ge 0.000 0.000 0.000
Br 2.146 2.146 1.835
O 0.000 0.000 1.835
F 0.000 2.146 0.000
F 2.146 0.000 0.000
```

Properties
Total moment (Bohr magnetons per cell): 1.4

=====

Result of the stability comparison: x is the most stable of them.

=====

--- w ---
This record from the Alexandria database describes GeSeBr2F after structural relaxation. The functional is PBE-GGA.

```
5
Lattice="5.133 0.000 0.000 0.000 5.133 0.000 0.000 0.000 5.293" Properties=species:S:1:pos:R:3 pbc="T T T"
Ge 0.000 0.000 0.000
Se 0.000 0.000 2.646
Br 0.000 2.566 0.000
Br 2.566 0.000 0.000
F 2.566 2.566 2.646
```

Properties
Total moment (Bohr magnetons per cell): 2.2

=====

--- x ---
This record from the Alexandria database describes GeSeBr2F after structural relaxation. The functional is PBE-GGA.

```
5
Lattice="5.609 0.000 0.000 0.000 5.609 0.000 0.000 0.000 3.919" Properties=species:S:1:pos:R:3 pbc="T T T"
Ge 0.000 0.000 0.000
Se 2.804 2.804 0.000
Br 0.000 2.804 1.960
Br 2.804 0.000 1.960
F 2.804 2.804 1.960
```

Properties
Total moment (Bohr magnetons per cell): 1.1

=====

Result of the stability comparison: w is the most stable of them.

=====

--- w ---
This record from the Alexandria database describes H2Br2F after structural relaxation. The functional is PBE-GGA.

```
10
Lattice="7.763 0.000 0.000 0.000 7.763 0.000 0.000 0.000 3.249" Properties=species:S:1:pos:R:3 pbc="T T T"
H 1.869 2.013 0.000
H 2.013 5.894 0.000
H 5.751 1.869 0.000
H 5.894 5.751 0.000
Br 1.611 5.492 1.624
Br 2.271 1.611 1.624
Br 5.492 6.152 1.624
Br 6.152 2.271 1.624
F 0.000 0.000 1.624
F 3.882 3.882 1.624
```

Properties
Total moment (Bohr magnetons per cell): 2.0

=====

--- x ---
This record from the Alexandria database describes H2Br2F after structural relaxation. The functional is PBE-GGA.

```
5
Lattice="-1.711 1.711 5.791 1.711 -1.711 5.791 1.711 1.711 -5.791" Properties=species:S:1:pos:R:3 pbc="T T T"
H 1.711 0.000 2.895
H 0.000 1.711 2.895
Br 0.000 0.000 1.698
Br 0.000 0.000 9.883
F 0.000 0.000 5.791
```

Properties
Total moment (Bohr magnetons per cell): 0.8

=====

Result of the stability comparison: w is the most stable of them.

=====

--- w ---
This record from the Alexandria database describes HBrF after structural relaxation. The functional is PBE-GGA.

```
6
Lattice="2.607 0.000 0.000 0.005 6.349 0.000 0.849 0.520 7.575" Properties=species:S:1:pos:R:3 pbc="T T T"
H 0.438 1.598 0.186
H 3.023 5.271 7.389
Br 1.726 1.849 4.235
Br 1.735 5.021 3.341
F 1.357 5.267 7.211
F 2.103 1.602 0.364
```

Properties
Total moment (Bohr magnetons per cell): 0.0

=====

--- x ---
This record from the Alexandria database describes HBrF after structural relaxation. The functional is PBE-GGA.

```
3
Lattice="-1.462 1.462 6.046 1.462 -1.462 6.046 1.462 1.462 -6.046" Properties=species:S:1:pos:R:3 pbc="T T T"
H 0.000 0.000 0.000
Br 0.000 0.000 9.708
F 0.000 0.000 0.946
```

Properties
Total moment (Bohr magnetons per cell): 0.0

=====

Result of the stability comparison: w is the most stable of them.

=====

--- w ---
This record from the Alexandria database describes HBrF after structural relaxation. The functional is PBE-GGA.

```
6
Lattice="3.944 0.000 0.000 0.000 4.184 0.000 -0.242 0.000 6.472" Properties=species:S:1:pos:R:3 pbc="T T T"
H 0.053 1.046 0.351
H 3.649 3.138 6.121
Br 0.867 1.046 3.230
Br 2.835 3.138 3.242
F 0.603 3.138 6.426
F 3.099 1.046 0.046
```

Properties
Total moment (Bohr magnetons per cell): 0.0

=====

--- x ---
This record from the Alexandria database describes HBrF after structural relaxation. The functional is PBE-GGA.

```
6
Lattice="4.478 0.000 0.000 -0.892 5.639 0.000 -0.204 -2.909 5.120" Properties=species:S:1:pos:R:3 pbc="T T T"
H 0.173 -0.579 1.343
H 3.209 3.309 3.776
Br 1.297 1.379 1.463
Br 2.086 1.352 3.657
F 0.149 -1.570 4.035
F 3.234 4.300 1.084
```

Properties
Total moment (Bohr magnetons per cell): 0.0

=====

Result of the stability comparison: x is the most stable of them.

=====

--- w ---
This record from the Alexandria database describes H3BrF after structural relaxation. The functional is PBE-GGA.

```
5
Lattice="3.518 0.000 0.000 0.000 3.518 0.000 0.000 0.000 3.518" Properties=species:S:1:pos:R:3 pbc="T T T"
H 0.000 0.000 1.759
H 0.000 1.759 0.000
H 1.759 0.000 0.000
Br 1.759 1.759 1.759
F 0.000 0.000 0.000
```

Properties
Total moment (Bohr magnetons per cell): 0.9

=====

--- x ---
This record from the Alexandria database describes H3BrF after structural relaxation. The functional is PBE-GGA.

```
5
Lattice="3.513 0.000 0.000 0.000 3.513 0.000 0.000 0.000 3.513" Properties=species:S:1:pos:R:3 pbc="T T T"
H 0.000 0.000 1.756
H 0.000 1.756 0.000
H 1.756 0.000 0.000
Br 0.000 0.000 0.000
F 1.756 1.756 1.756
```

Properties
Total moment (Bohr magnetons per cell): 0.0

=====

Result of the stability comparison: x is the most stable of them.